1.
This record from Alexandria describes an optimized crystal structure of Sm5HgAu4. The functional is GGA-PBE.

Cell and atoms, written as POSCAR:
```
Sm5HgAu4
1.0
3.690 0.000 0.000
0.000 3.690 0.000
0.000 0.000 18.572
Sm Hg Au
5 1 4
direct
0.000 0.000 0.000
0.000 0.000 0.198
0.000 0.000 0.394
0.000 0.000 0.606
0.000 0.000 0.802
0.500 0.500 0.500
0.500 0.500 0.099
0.500 0.500 0.297
0.500 0.500 0.703
0.500 0.500 0.901
```

Results
As for the space-group type: P4/mmm. For the formation energy, the calculation gives -0.7342 eV per atom.



2.
This record from Alexandria describes an optimized crystal structure of LaScSi. The functional is GGA-PBE.

Cell and atoms, written as POSCAR:
```
LaScSi
1.0
-2.365 2.365 7.207
2.365 -2.365 7.207
2.365 2.365 -7.207
La Sc Si
2 2 2
direct
0.143 0.143 0.000
0.857 0.857 0.000
0.397 0.397 0.000
0.603 0.603 0.000
0.000 0.500 0.500
0.500 0.000 0.500
```

Results
For the raw formation energy, the calculation gives -0.282 eV per atom. For the polymorph energy (0 for the lowest one), the calculation gives 1.019 eV/f.u. As for the space-group type: I4/mmm.



3.
This record from Alexandria describes an optimized crystal structure of Tb5Dy2Th2. The functional is GGA-PBE.

Cell and atoms, written as POSCAR:
```
Tb5Dy2Th2
1.0
11.427 -1.739 0.000
11.427 1.739 0.000
-1.497 0.000 7.972
Tb Dy Th
5 2 2
direct
0.000 0.000 0.000
0.091 0.091 0.734
0.306 0.306 0.446
0.694 0.694 0.554
0.909 0.909 0.266
0.166 0.166 0.171
0.834 0.834 0.829
0.448 0.448 0.641
0.552 0.552 0.359
```

Results
For the polymorph energy (0 for the lowest one), the calculation gives 0.399 eV/f.u. As for the space-group type: C2/m. For the formation energy, the calculation gives 0.2884 eV per atom.



4.
This record from Alexandria describes an optimized crystal structure of TlCuRe2. The functional is GGA-PBE.

Cell and atoms, written as POSCAR:
```
TlCuRe2
1.0
4.460 -1.429 0.000
4.460 1.429 0.000
-0.649 0.000 5.188
Tl Cu Re
1 1 2
direct
0.000 0.000 0.000
0.245 0.245 0.765
0.501 0.501 0.504
0.753 0.753 0.325
```

Results
For the polymorph energy (0 for the lowest one), the calculation gives 1.105 eV/f.u. As for the space-group type: Cm. For the formation energy, the calculation gives 0.7317 eV per atom.



5.
This record from Alexandria describes an optimized crystal structure of LaNpTe2S. The functional is GGA-PBE.

Cell and atoms, written as POSCAR:
```
LaNpTe2S
1.0
4.530 0.000 0.000
0.000 4.530 0.000
0.000 0.000 15.617
La Np Te S
2 2 4 2
direct
0.250 0.250 0.104
0.750 0.750 0.896
0.250 0.250 0.605
0.750 0.750 0.395
0.250 0.250 0.402
0.250 0.250 0.794
0.750 0.750 0.206
0.750 0.750 0.598
0.250 0.750 0.000
0.750 0.250 0.000
```

Results
For the raw formation energy, the calculation gives -1.219 eV per atom. As for the space-group type: P4/nmm.



6.
This record from Alexandria describes an optimized crystal structure of Cs3MgTl4. The functional is GGA-PBE.

Cell and atoms, written as POSCAR:
```
Cs3MgTl4
1.0
-3.553 4.122 6.030
3.553 -4.122 6.030
3.553 4.122 -6.030
Cs Mg Tl
3 1 4
direct
0.000 0.000 0.000
0.410 0.658 0.752
0.906 0.658 0.248
0.612 0.112 0.500
0.027 0.325 0.702
0.403 0.148 0.745
0.403 0.658 0.255
0.624 0.325 0.298
```

Results
For the polymorph energy (0 for the lowest one), the calculation gives 0.000 eV/f.u. As for the space-group type: Imm2. For the formation energy, the calculation gives -0.0324 eV per atom.



7.
This record from Alexandria describes an optimized crystal structure of Zr3NbF. The functional is GGA-PBE.

Cell and atoms, written as POSCAR:
```
Zr3NbF
1.0
4.569 0.000 0.000
0.000 4.569 0.000
0.000 0.000 4.569
Zr Nb F
3 1 1
direct
0.000 0.000 0.500
0.000 0.500 0.000
0.500 0.000 0.000
0.500 0.500 0.500
0.000 0.000 0.000
```

Results
For the raw formation energy, the calculation gives -0.495 eV per atom. For the polymorph energy (0 for the lowest one), the calculation gives 0.000 eV/f.u. As for the space-group type: Pm-3m.



8.
This record from Alexandria describes an optimized crystal structure of Tb5Sb2Te2. The functional is GGA-PBE.

Cell and atoms, written as POSCAR:
```
Tb5Sb2Te2
1.0
7.732 -4.048 0.000
7.732 4.048 0.000
0.000 0.000 8.111
Tb Sb Te
10 4 4
direct
0.000 0.000 0.000
0.024 0.707 0.658
0.207 0.524 0.158
0.293 0.976 0.658
0.476 0.793 0.158
0.500 0.500 0.500
0.524 0.207 0.842
0.707 0.024 0.342
0.793 0.476 0.842
0.976 0.293 0.342
0.144 0.856 0.358
0.356 0.644 0.858
0.644 0.356 0.142
0.856 0.144 0.642
0.199 0.199 0.000
0.301 0.301 0.500
0.699 0.699 0.500
0.801 0.801 0.000
```

Results
For the raw formation energy, the calculation gives -1.098 eV per atom. For the polymorph energy (0 for the lowest one), the calculation gives 0.000 eV/f.u. As for the space-group type: Cmce.



9.
This record from Alexandria describes an optimized crystal structure of BaTaBr2. The functional is GGA-PBE.

Cell and atoms, written as POSCAR:
```
BaTaBr2
1.0
0.000 4.012 4.012
4.012 0.000 4.012
4.012 4.012 0.000
Ba Ta Br
1 1 2
direct
0.000 0.000 0.000
0.750 0.750 0.750
0.250 0.250 0.250
0.500 0.500 0.500
```

Results
For the raw formation energy, the calculation gives 0.417 eV per atom. For the polymorph energy (0 for the lowest one), the calculation gives 2.573 eV/f.u. As for the space-group type: F-43m.



10.
This record from Alexandria describes an optimized crystal structure of K2ScTlCl6. The functional is GGA-PBE.

Cell and atoms, written as POSCAR:
```
K2ScTlCl6
1.0
3.807 2.198 6.518
-3.807 2.198 6.518
0.000 -4.396 6.518
K Sc Tl Cl
2 1 1 6
direct
0.000 0.000 0.000
0.489 0.489 0.489
0.700 0.700 0.700
0.211 0.211 0.211
0.022 0.476 0.813
0.372 0.898 0.593
0.476 0.813 0.022
0.593 0.372 0.898
0.813 0.022 0.476
0.898 0.593 0.372
```

Results
For the raw formation energy, the calculation gives -1.861 eV per atom. As for the space-group type: R3.



11.
This record from Alexandria describes an optimized crystal structure of Re2PtCl. The functional is GGA-PBE.

Cell and atoms, written as POSCAR:
```
Re2PtCl
1.0
-2.105 2.105 8.052
2.105 -2.105 8.052
2.105 2.105 -8.052
Re Pt Cl
4 2 2
direct
0.054 0.625 0.929
0.375 0.304 0.429
0.696 0.125 0.071
0.875 0.946 0.571
0.250 0.750 0.500
0.500 0.500 0.000
0.000 0.000 0.000
0.750 0.250 0.500
```

Results
For the raw formation energy, the calculation gives 1.198 eV per atom. For the polymorph energy (0 for the lowest one), the calculation gives 3.854 eV/f.u. As for the space-group type: I-42d.



12.
This record from Alexandria describes an optimized crystal structure of Nb2TlTcRh. The functional is GGA-PBE.

Cell and atoms, written as POSCAR:
```
Nb2TlTcRh
1.0
4.732 0.000 0.000
0.000 4.732 0.000
0.000 0.000 5.125
Nb Tl Tc Rh
2 1 1 1
direct
0.000 0.500 0.000
0.500 0.000 0.000
0.000 0.000 0.500
0.000 0.000 0.000
0.500 0.500 0.500
```

Results
As for the space-group type: P4/mmm. For the formation energy, the calculation gives 1.2168 eV per atom.



13.
This record from Alexandria describes an optimized crystal structure of ScAu2Cl. The functional is GGA-PBE.

Cell and atoms, written as POSCAR:
```
ScAu2Cl
1.0
1.811 1.046 8.630
-1.811 1.046 8.630
0.000 -2.091 8.630
Sc Au Cl
1 2 1
direct
0.000 0.000 0.000
0.268 0.268 0.268
0.529 0.529 0.529
0.728 0.728 0.728
```

Results
For the raw formation energy, the calculation gives -0.779 eV per atom. For the polymorph energy (0 for the lowest one), the calculation gives 0.209 eV/f.u. As for the space-group type: R3m.



14.
This record from Alexandria describes an optimized crystal structure of Sr2ThPt9. The functional is GGA-PBE.

Cell and atoms, written as POSCAR:
```
Sr2ThPt9
1.0
2.732 1.577 9.060
-2.732 1.577 9.060
0.000 -3.155 9.060
Sr Th Pt
2 1 9
direct
0.142 0.142 0.142
0.858 0.858 0.858
0.000 0.000 0.000
0.082 0.583 0.583
0.333 0.333 0.333
0.417 0.417 0.918
0.417 0.918 0.417
0.500 0.500 0.500
0.583 0.082 0.583
0.583 0.583 0.082
0.667 0.667 0.667
0.918 0.417 0.417
```

Results
As for the space-group type: R-3m. For the formation energy, the calculation gives -0.8122 eV per atom.



15.
This record from Alexandria describes an optimized crystal structure of AcSc3B. The functional is GGA-PBE.

Cell and atoms, written as POSCAR:
```
AcSc3B
1.0
4.920 0.000 0.000
0.000 4.920 0.000
0.000 0.000 4.920
Ac Sc B
1 3 1
direct
0.000 0.000 0.000
0.000 0.500 0.500
0.500 0.000 0.500
0.500 0.500 0.000
0.500 0.500 0.500
```

Results
As for the space-group type: Pm-3m. For the formation energy, the calculation gives 0.0172 eV per atom.



16.
This record from Alexandria describes an optimized crystal structure of CeTmSbO6. The functional is GGA-PBE.

Cell and atoms, written as POSCAR:
```
CeTmSbO6
1.0
5.519 0.000 0.000
-2.760 4.780 0.000
0.000 0.000 9.631
Ce Tm Sb O
2 2 2 12
direct
0.000 0.000 0.000
0.000 0.000 0.500
0.333 0.667 0.250
0.667 0.333 0.750
0.333 0.667 0.750
0.667 0.333 0.250
0.030 0.360 0.634
0.030 0.670 0.866
0.330 0.360 0.866
0.330 0.970 0.634
0.360 0.030 0.134
0.360 0.330 0.366
0.640 0.670 0.634
0.640 0.970 0.866
0.670 0.030 0.366
0.670 0.640 0.134
0.970 0.330 0.134
0.970 0.640 0.366
```

Results
For the raw formation energy, the calculation gives -2.658 eV per atom. As for the space-group type: P-31c.